one) A geometry-optimized TaTiFe4 structure, computed with PBE-GGA.

Calculated values
- volume (A^3/atom) = 12.6

a = 4.7251 Å, b = 4.7251 Å, c = 7.8135 Å
α = 90.00°, β = 90.00°, γ = 120.00°
With the nearest neighbours (Å) after each atom.
Space group P-3m1 (No. 164)
Inequivalent atoms, fractional coordinates:
Ta (0.3333, 0.6667, 0.4298) (multiplicity 2)  12 Fe 2.75-2.84, 1 Ti 2.88, 3 Ta 2.94
Ti (0.3333, 0.6667, 0.0611) (multiplicity 2)  12 Fe 2.76-2.78, 1 Ta 2.88, 3 Ti 2.89
Fe (0.0000, 0.0000, 0.0000) (multiplicity 1)  6 Fe 2.39
Fe (0.0000, 0.0000, 0.5000) (multiplicity 1)  6 Fe 2.41
Fe (0.1707, 0.3414, 0.7514) (multiplicity 6)  6 Fe 2.31-2.42

two) A geometry-optimized TaTiFe4 structure, computed with PBE-GGA.

Calculated values
- volume (A^3/atom) = 13.0

a = 6.7838 Å, b = 6.7838 Å, c = 6.7838 Å
α = 90.00°, β = 90.00°, γ = 90.00°
With the nearest neighbours (Å) after each atom.
Space group F-43m (No. 216)
Inequivalent atoms, fractional coordinates:
Ta (0.0000, 0.0000, 0.0000) (multiplicity 4)  12 Fe 2.81, 4 Ti 2.94
Ti (0.2500, 0.2500, 0.7500) (multiplicity 4)  12 Fe 2.81, 4 Ta 2.94
Fe (0.1249, 0.1249, 0.3751) (multiplicity 16)  6 Fe 2.40

Top of the stability list: two), leading by 0.017 eV/atom.

one) A geometry-optimized Ta3TlFe structure, computed with PBE-GGA.

Calculated values
- volume (A^3/atom) = 19.9

a = 4.6302 Å, b = 4.6302 Å, c = 4.6302 Å
α = 90.00°, β = 90.00°, γ = 90.00°
With the nearest neighbours (Å) after each atom.
Space group Pm-3m (No. 221)
Inequivalent atoms, fractional coordinates:
Ta (0.0000, 0.0000, 0.5000) (multiplicity 3)  2 Fe 2.32
Tl (0.5000, 0.5000, 0.5000) (multiplicity 1)  12 Ta 3.27
Fe (0.0000, 0.0000, 0.0000) (multiplicity 1)  6 Ta 2.32

two) A geometry-optimized Ta3TlFe structure, computed with PBE-GGA.

Calculated values
- volume (A^3/atom) = 25.4

a = 5.0235 Å, b = 5.0235 Å, c = 5.0235 Å
α = 90.00°, β = 90.00°, γ = 90.00°
With the nearest neighbours (Å) after each atom.
Space group Pm-3m (No. 221)
Inequivalent atoms, fractional coordinates:
Ta (0.0000, 0.0000, 0.5000) (multiplicity 3)  2 Tl 2.51
Tl (0.0000, 0.0000, 0.0000) (multiplicity 1)  6 Ta 2.51
Fe (0.5000, 0.5000, 0.5000) (multiplicity 1)  12 Ta 3.55

Top of the stability list: one), leading by 2.277 eV/atom.

one) A geometry-optimized TaVFe structure, computed with PBE-GGA.

Calculated values
- volume (A^3/atom) = 14.4

a = 3.6851 Å, b = 8.3236 Å, c = 5.6426 Å
α = 90.00°, β = 90.00°, γ = 90.00°
With the nearest neighbours (Å) after each atom.
Space group Cmcm (No. 63)
Inequivalent atoms, fractional coordinates:
Ta (0.0000, 0.0000, 0.0000) (multiplicity 4)  4 Fe 2.67, 2 Ta 2.82, 6 V 2.82-2.92
V (0.0000, 0.3066, 0.2500) (multiplicity 4)  2 Fe 2.22
Fe (0.0000, 0.3412, 0.7500) (multiplicity 4)  2 V 2.22

two) A geometry-optimized TaVFe structure, computed with PBE-GGA.

Calculated values
- volume (A^3/atom) = 14.1

a = 3.0281 Å, b = 3.0281 Å, c = 9.2574 Å
α = 90.00°, β = 90.00°, γ = 90.00°
With the nearest neighbours (Å) after each atom.
Space group I4mm (No. 107)
Inequivalent atoms, fractional coordinates:
Ta (0.0000, 0.0000, 0.0000) (multiplicity 2)  4 Fe 2.65, 5 V 2.72-2.95
V (0.0000, 0.0000, 0.3187) (multiplicity 2)  4 Fe 2.55, 4 Ta 2.72
Fe (0.0000, 0.0000, 0.6691) (multiplicity 2)  4 V 2.55, 4 Ta 2.65

three) A geometry-optimized TaVFe structure, computed with PBE-GGA.

Calculated values
- volume (A^3/atom) = 13.9

a = 4.8871 Å, b = 5.0022 Å, c = 6.8449 Å
α = 90.00°, β = 90.00°, γ = 90.00°
With the nearest neighbours (Å) after each atom.
Space group Imma (No. 74)
Inequivalent atoms, fractional coordinates:
Ta (0.0000, 0.2500, 0.1266) (multiplicity 4)  6 Fe 2.85-2.88, 6 V 2.85-2.91, 4 Ta 2.97-3.04
V (0.2500, 0.2500, 0.7500) (multiplicity 4)  2 V 2.44, 4 Fe 2.45
Fe (0.0000, 0.0000, 0.5000) (multiplicity 4)  4 V 2.45, 2 Fe 2.50

Top of the stability list: three), leading by 0.122 eV/atom.

one) A geometry-optimized TaV3Fe structure, computed with PBE-GGA.

Calculated values
- volume (A^3/atom) = 14.3

a = 5.0750 Å, b = 11.4517 Å, c = 4.9040 Å
α = 90.00°, β = 90.00°, γ = 90.00°
With the nearest neighbours (Å) after each atom.
Space group Cmcm (No. 63)
Inequivalent atoms, fractional coordinates:
Ta (0.0000, 0.0736, 0.2500) (multiplicity 4)  8 V 2.78-2.94, 4 Fe 2.94, 2 Ta 2.98
V (0.0000, 0.3269, 0.7500) (multiplicity 4)  2 V 2.32, 2 Fe 2.33
V (0.2471, 0.3423, 0.2500) (multiplicity 8)  3 V 2.32-2.57, 2 Fe 2.52
Fe (0.0000, 0.5000, 0.0000) (multiplicity 4)  6 V 2.33-2.52, 2 Fe 2.45

two) A geometry-optimized TaV3Fe structure, computed with PBE-GGA.

Calculated values
- volume (A^3/atom) = 15.7

a = 4.2825 Å, b = 4.2825 Å, c = 4.2825 Å
α = 90.00°, β = 90.00°, γ = 90.00°
With the nearest neighbours (Å) after each atom.
Space group Pm-3m (No. 221)
Inequivalent atoms, fractional coordinates:
Ta (0.0000, 0.0000, 0.0000) (multiplicity 1)  12 V 3.03
V (0.0000, 0.5000, 0.5000) (multiplicity 3)  2 Fe 2.14
Fe (0.5000, 0.5000, 0.5000) (multiplicity 1)  6 V 2.14

Top of the stability list: one), leading by 0.550 eV/atom.